(1)
The following is a DFT calculation (PBE) of an optimized crystal structure of Sr3ScCr.

Properties
The calculation puts the total energy at -3.41 eV per atom. As for the polymorph energy (0 for the lowest one): 0.0 kJ/mol of formula units. For the formation energy, the calculation gives 788 meV/atom. Its symmetry is No. 221.

Cell lengths 6.0594, 6.0594, 6.0594 Å; angles 90.00, 90.00, 90.00 degrees
With the nearest neighbours (Å) after each atom.
Fractional coordinates of all 5 atoms:
Sr  0.0000  0.0000  0.5000  2 Cr 3.03
Sr  0.0000  0.5000  0.0000  2 Cr 3.03
Sr  0.5000  0.0000  0.0000  2 Cr 3.03
Sc  0.5000  0.5000  0.5000  12 Sr 4.28
Cr  0.0000  0.0000  0.0000  6 Sr 3.03

***

(2)
The following is a DFT calculation (PBE) of an optimized crystal structure of SrScCr.

Properties
The calculation puts the total energy at -5.01 eV per atom. As for the polymorph energy (0 for the lowest one): 108.1 kJ/mol of formula units. For the formation energy, the calculation gives 874 meV/atom. Its symmetry is No. 216.

Cell lengths 7.2723, 7.2723, 7.2723 Å; angles 90.00, 90.00, 90.00 degrees
With the nearest neighbours (Å) after each atom.
Fractional coordinates of all 12 atoms:
Sr  0.0000  0.0000  0.0000  4 Cr 3.15
Sr  0.0000  0.5000  0.5000  4 Cr 3.15
Sr  0.5000  0.0000  0.5000  4 Cr 3.15
Sr  0.5000  0.5000  0.0000  4 Cr 3.15
Sc  0.0000  0.0000  0.5000  4 Cr 3.15
Sc  0.0000  0.5000  0.0000  4 Cr 3.15
Sc  0.5000  0.0000  0.0000  4 Cr 3.15
Sc  0.5000  0.5000  0.5000  4 Cr 3.15
Cr  0.2500  0.2500  0.2500  4 Sc 3.15, 4 Sr 3.15
Cr  0.2500  0.7500  0.7500  4 Sc 3.15, 4 Sr 3.15
Cr  0.7500  0.2500  0.7500  4 Sc 3.15, 4 Sr 3.15
Cr  0.7500  0.7500  0.2500  4 Sc 3.15, 4 Sr 3.15

***

(3)
The following is a DFT calculation (PBE) of an optimized crystal structure of SrScZn2Cr.

Properties
The calculation puts the total energy at -3.80 eV per atom. For the formation energy, the calculation gives 241 meV/atom. Its symmetry is No. 123.

Cell lengths 5.0333, 5.0333, 4.6319 Å; angles 90.00, 90.00, 90.00 degrees
With the nearest neighbours (Å) after each atom.
Fractional coordinates of all 5 atoms:
Sr  0.0000  0.0000  0.0000  8 Zn 3.42, 4 Sc 3.56
Sc  0.5000  0.5000  0.0000  2 Cr 2.32
Zn  0.0000  0.5000  0.5000  2 Cr 2.52
Zn  0.5000  0.0000  0.5000  2 Cr 2.52
Cr  0.5000  0.5000  0.5000  2 Sc 2.32, 4 Zn 2.52